Entry 1:
TcRh2Au: relaxed, GGA-PBEsol.

Structure (extended XYZ):
```
4
Lattice="2.730 0.000 0.000 0.000 2.730 0.000 0.000 0.000 7.728" Properties=species:S:1:pos:R:3 pbc="T T T"
Tc 0.000 0.000 0.000
Rh 1.365 1.365 1.774
Rh 1.365 1.365 5.954
Au 0.000 0.000 3.864
```

DFT formation energy = -0.044 eV per atom
ρ = 14.43 g/cm3
Excess energy over the best structure of this formula in the dataset = 0.00 kJ per mole of atoms
Magnetic moment = 0.0 μB per formula unit
Symmetry = P4/mmm

---

Entry 2:
Tc2RhAu: relaxed, GGA-PBEsol.

Structure (extended XYZ):
```
16
Lattice="6.182 0.000 0.000 0.000 6.182 0.000 0.000 0.000 6.182" Properties=species:S:1:pos:R:3 pbc="T T T"
Tc 1.546 1.546 1.546
Tc 1.546 1.546 4.637
Tc 1.546 4.637 1.546
Tc 1.546 4.637 4.637
Tc 4.637 1.546 1.546
Tc 4.637 1.546 4.637
Tc 4.637 4.637 1.546
Tc 4.637 4.637 4.637
Rh 0.000 0.000 0.000
Rh 0.000 3.091 3.091
Rh 3.091 0.000 3.091
Rh 3.091 3.091 0.000
Au 0.000 0.000 3.091
Au 0.000 3.091 0.000
Au 3.091 0.000 0.000
Au 3.091 3.091 3.091
```

DFT formation energy = 0.597 eV per atom
ρ = 13.94 g/cm3
Excess energy over the best structure of this formula in the dataset = 41.55 kJ per mole of atoms
Magnetic moment = 0.9 μB per formula unit
Symmetry = Fm-3m

---

Entry 3:
TcRhAu2: relaxed, GGA-PBEsol.

Structure (extended XYZ):
```
8
Lattice="3.907 0.000 0.000 0.000 3.907 0.000 0.000 0.000 7.903" Properties=species:S:1:pos:R:3 pbc="T T T"
Tc 0.000 0.000 0.000
Tc 1.954 1.954 3.951
Rh 0.000 1.954 5.927
Rh 1.954 0.000 1.976
Au 0.000 0.000 3.951
Au 0.000 1.954 1.976
Au 1.954 0.000 5.927
Au 1.954 1.954 0.000
```

DFT formation energy = 0.259 eV per atom
ρ = 16.37 g/cm3
Excess energy over the best structure of this formula in the dataset = 0.00 kJ per mole of atoms
Magnetic moment = 0.0 μB per formula unit
Symmetry = I-4m2